# Cu3BF | the Alexandria database | PBE | optimized geometry
data_Cu3BF
_space_group_name_H-M_alt 'P m -3 m'
_space_group_IT_number 221
_space_group_name_Hall '-P 4 2 3'
_cell_length_a 3.9386
_cell_length_b 3.9386
_cell_length_c 3.9386
_cell_angle_alpha 90.00
_cell_angle_beta 90.00
_cell_angle_gamma 90.00
loop_
_atom_site_label
_atom_site_fract_x
_atom_site_fract_y
_atom_site_fract_z
Cu1 0.0000 0.0000 0.5000
B1 0.0000 0.0000 0.0000
F1 0.5000 0.5000 0.5000
# M_tot = 0.00 μB/f.u.
# E_form (uncorrected) = 139 meV/atom
# DOS at the Fermi energy = 6.10 states/eV per cell